1.
A plane-wave DFT calculation with meta-GGA SCAN was carried out for a PBEsol-optimized structure of Lu2IrPd.

- formation energy (eV per atom) = -1.192
- DOS(E_F) (states/eV per cell) = 1.44

Unit cell a=4.7173 b=4.7173 c=4.7173 alpha=60.00 beta=60.00 gamma=60.00
Positions (direct):
Lu: 0.2500 0.2500 0.2500
Lu: 0.7500 0.7500 0.7500
Ir: 0.0000 0.0000 0.0000
Pd: 0.5000 0.5000 0.5000

=====

2.
A plane-wave DFT calculation with meta-GGA SCAN was carried out for a PBEsol-optimized structure of Mn5CoO12.

- ΔE_f (raw) (eV per atom) = -1.881

Unit cell a=4.9078 b=4.9078 c=9.5223 alpha=90.01 beta=90.01 gamma=120.06
Positions (direct):
Mn: 0.0000 0.0000 0.0000
Mn: 0.1666 0.8334 0.5000
Mn: 0.3334 0.6666 0.0000
Mn: 0.6666 0.3334 0.0000
Mn: 0.8334 0.1666 0.5000
Co: 0.5000 0.5000 0.5000
O: 0.9999 0.3333 0.1005
O: 0.0001 0.6667 0.8995
O: 0.1697 0.1697 0.4018
O: 0.1700 0.5002 0.5982
O: 0.3333 0.9999 0.1005
O: 0.3333 0.3333 0.8995
O: 0.5002 0.1700 0.5982
O: 0.4998 0.8300 0.4018
O: 0.6667 0.0001 0.8995
O: 0.6667 0.6667 0.1005
O: 0.8300 0.4998 0.4018
O: 0.8303 0.8303 0.5982

=====

3.
A plane-wave DFT calculation with meta-GGA SCAN was carried out for a PBEsol-optimized structure of KAl2Se2.

- ΔE_f (raw) (eV per atom) = -0.382
- DOS(E_F) (states/eV per cell) = 1.16

Unit cell a=6.7897 b=6.7897 c=6.7897 alpha=137.28 beta=137.28 gamma=62.01
Positions (direct):
K: 0.0000 0.0000 0.0000
Al: 0.2500 0.7500 0.5000
Al: 0.7500 0.2500 0.5000
Se: 0.3303 0.3303 0.0000
Se: 0.6697 0.6697 0.0000

=====

no.,magnetic moment (μB per atom),E_tot (eV per atom)
1,0.00,-54.833
2,0.78,-12.068
3,0.00,-13.180